DFT (PBEsol) results for an optimized crystal structure of BeNi3Cl.

Cell and atoms, written as POSCAR:
```
BeNi3Cl
1.0
4.037 0.000 0.000
0.000 4.037 0.000
0.000 0.000 4.037
Ni Be Cl
3 1 1
direct
0.000 0.500 0.000
0.000 0.000 0.500
0.500 0.000 0.000
0.500 0.500 0.500
0.000 0.000 0.000
```

**Energy relative to the elements, uncorrected**: 371 kJ/mol of formula units
**Total DFT energy (no corrections)**: -20.63 eV/f.u.
**Calculated density**: 5.57 Mg/m³
**Total magnetic moment**: 0.00 μB per formula unit


DFT (PBEsol) results for an optimized crystal structure of Be2PbClO.

Cell and atoms, written as POSCAR:
```
Be2PbClO
1.0
3.712 0.000 0.000
0.000 3.712 0.000
0.000 0.000 6.170
Pb Be O Cl
1 2 1 1
direct
0.500 0.500 0.500
0.000 0.500 0.000
0.500 0.000 0.000
0.000 0.000 0.000
0.000 0.000 0.500
```

**Energy relative to the elements, uncorrected**: -110 kJ/mol of formula units
**Total DFT energy (no corrections)**: -20.39 eV/f.u.
**Calculated density**: 5.40 Mg/m³
**Total magnetic moment**: 0.00 μB per formula unit


DFT (PBEsol) results for an optimized crystal structure of BeOs2Cl.

Cell and atoms, written as POSCAR:
```
BeOs2Cl
1.0
2.688 0.000 0.000
0.000 4.198 0.000
0.000 0.000 4.779
Be Os Cl
1 2 1
direct
0.500 0.500 0.000
0.000 0.000 0.000
0.500 0.000 0.500
0.000 0.500 0.500
```

**Energy relative to the elements, uncorrected**: 330 kJ/mol of formula units
**Total DFT energy (no corrections)**: -27.02 eV/f.u.
**Calculated density**: 13.08 Mg/m³
**Total magnetic moment**: 0.00 μB per formula unit


DFT (PBEsol) results for an optimized crystal structure of BeOsCl.

Cell and atoms, written as POSCAR:
```
BeOsCl
1.0
3.954 0.000 0.000
1.977 3.424 0.000
1.977 1.141 3.228
Be Os Cl
1 1 1
direct
0.000 0.000 0.000
0.250 0.250 0.250
0.500 0.500 0.500
```

**Energy relative to the elements, uncorrected**: 347 kJ/mol of formula units
**Total DFT energy (no corrections)**: -14.63 eV/f.u.
**Calculated density**: 8.92 Mg/m³
**Total magnetic moment**: 0.00 μB per formula unit


DFT (PBEsol) results for an optimized crystal structure of BeOs2Cl.

Cell and atoms, written as POSCAR:
```
BeOs2Cl
1.0
2.826 0.000 0.000
0.000 2.826 0.000
0.000 0.000 6.683
Be Os Cl
1 2 1
direct
0.500 0.500 0.000
0.000 0.000 0.812
0.000 0.000 0.188
0.500 0.500 0.500
```

**Energy relative to the elements, uncorrected**: 267 kJ/mol of formula units
**Total DFT energy (no corrections)**: -27.67 eV/f.u.
**Calculated density**: 13.22 Mg/m³
**Total magnetic moment**: 0.00 μB per formula unit


DFT (PBEsol) results for an optimized crystal structure of BeOsCl.

Cell and atoms, written as POSCAR:
```
BeOsCl
1.0
2.785 0.000 0.000
1.392 2.363 0.000
1.392 0.000 6.986
Be Os Cl
1 1 1
direct
0.990 0.000 0.020
0.627 0.000 0.747
0.384 0.000 0.233
```

**Energy relative to the elements, uncorrected**: 111 kJ/mol of formula units
**Total DFT energy (no corrections)**: -17.07 eV/f.u.
**Calculated density**: 8.48 Mg/m³
**Total magnetic moment**: 0.00 μB per formula unit


DFT (PBEsol) results for an optimized crystal structure of BeOsCl2.

Cell and atoms, written as POSCAR:
```
BeOsCl2
1.0
-0.273 -4.344 0.439
1.234 -1.902 3.742
-3.003 -1.746 2.660
Be Os Cl
1 1 2
direct
0.500 0.500 0.500
0.250 0.250 0.250
0.000 0.000 0.000
0.750 0.750 0.750
```

**Energy relative to the elements, uncorrected**: 520 kJ/mol of formula units
**Total DFT energy (no corrections)**: -14.84 eV/f.u.
**Calculated density**: 7.58 Mg/m³
**Total magnetic moment**: 2.22 μB per formula unit


DFT (PBEsol) results for an optimized crystal structure of Be2OsCl.

Cell and atoms, written as POSCAR:
```
Be2OsCl
1.0
2.934 0.000 0.000
0.000 4.100 0.000
-1.467 -2.050 3.830
Be Os Cl
2 1 1
direct
0.752 0.752 0.504
0.248 0.248 0.496
0.000 0.500 0.000
0.500 0.000 0.000
```

**Energy relative to the elements, uncorrected**: 244 kJ/mol of formula units
**Total DFT energy (no corrections)**: -19.69 eV/f.u.
**Calculated density**: 8.79 Mg/m³
**Total magnetic moment**: 0.00 μB per formula unit


DFT (PBEsol) results for an optimized crystal structure of BeOsCl2.

Cell and atoms, written as POSCAR:
```
BeOsCl2
1.0
2.970 0.000 0.000
-1.485 3.616 -0.001
0.000 -0.495 7.091
Be Os Cl
1 1 2
direct
0.718 0.437 0.548
0.452 0.904 0.673
0.004 0.009 0.918
0.325 0.651 0.361
```

**Energy relative to the elements, uncorrected**: -5 kJ/mol of formula units
**Total DFT energy (no corrections)**: -20.29 eV/f.u.
**Calculated density**: 5.89 Mg/m³
**Total magnetic moment**: 0.00 μB per formula unit


DFT (PBEsol) results for an optimized crystal structure of Be2OsCl.

Cell and atoms, written as POSCAR:
```
Be2OsCl
1.0
-0.499 0.561 2.698
-0.481 -3.439 0.626
5.953 0.880 -0.536
Be Os Cl
2 1 1
direct
0.909 0.909 0.818
0.787 0.287 0.573
0.247 0.747 0.494
0.557 0.557 0.115
```

**Energy relative to the elements, uncorrected**: 125 kJ/mol of formula units
**Total DFT energy (no corrections)**: -20.92 eV/f.u.
**Calculated density**: 7.31 Mg/m³
**Total magnetic moment**: 0.00 μB per formula unit


DFT (PBEsol) results for an optimized crystal structure of BeOsCl2.

Cell and atoms, written as POSCAR:
```
BeOsCl2
1.0
2.808 0.000 0.000
1.404 5.687 0.024
1.404 0.737 5.639
Be Os Cl
1 1 2
direct
0.253 0.247 0.247
0.521 0.479 0.479
0.915 0.085 0.085
0.811 0.689 0.689
```

**Energy relative to the elements, uncorrected**: 167 kJ/mol of formula units
**Total DFT energy (no corrections)**: -18.50 eV/f.u.
**Calculated density**: 4.98 Mg/m³
**Total magnetic moment**: 0.97 μB per formula unit


DFT (PBEsol) results for an optimized crystal structure of BePCl2.

Cell and atoms, written as POSCAR:
```
BePCl2
1.0
-1.501 -2.300 0.546
3.403 -2.843 4.555
-1.315 0.623 6.188
P Cl Be
1 2 1
direct
0.500 0.000 0.000
0.362 0.638 0.638
0.638 0.362 0.362
0.000 0.500 0.500
```

**Energy relative to the elements, uncorrected**: -21 kJ/mol of formula units
**Total DFT energy (no corrections)**: -14.02 eV/f.u.
**Calculated density**: 2.00 Mg/m³
**Total magnetic moment**: 0.00 μB per formula unit